No. 1
First-principles (PBE) data for a relaxed HgMo2C2 crystal, as listed in Alexandria.

Summary:
The total energy is -7.32 eV per atom.

Unit cell a=3.762 b=3.762 c=5.445 alpha=69.79 beta=69.79 gamma=90.00
Positions (direct):
1 C 0.750 0.250 0.500
2 C 0.250 0.750 0.500
3 Mo 0.353 0.353 0.295
4 Mo 0.647 0.647 0.705
5 Hg 0.000 0.000 0.000

No. 2
First-principles (PBE) data for a relaxed PrTm2Tc crystal, as listed in Alexandria.

Summary:
The total energy is -5.84 eV per atom.

Unit cell a=4.807 b=4.807 c=5.867 alpha=65.82 beta=65.82 gamma=60.00
Positions (direct):
1 Pr 0.500 0.500 0.500
2 Tm 0.275 0.275 0.174
3 Tm 0.725 0.725 0.826
4 Tc 0.000 0.000 0.000

| no. | relative energy among the computed polymorphs (kcal/mol of atoms) | energy of formation from the pure elements (meV/atom) |
| --- | --- | --- |
| 1 | 0.00 | 759.9 |
| 2 | 5.85 | 177.1 |